i:
ThH8Ru2 after structural relaxation. Source: the Alexandria database, functional GGA-PBE.

The structure in POSCAR format:
```
ThH8Ru2
1.0
-2.5691 2.6429 0.0227
-1.8758 -1.8761 -4.3667
-1.7830 -1.8613 4.4116
Ru H Th
2 8 1
Direct
0.5000 0.6674 0.3264
0.5000 0.3264 0.6674
0.2506 0.4522 0.4522
0.0000 0.2996 0.6943
0.7494 0.5416 0.5416
0.5105 0.3127 0.0217
0.5105 0.0217 0.3127
0.4895 0.6811 0.9721
0.0000 0.6943 0.2996
0.4895 0.9721 0.6811
0.0000 0.9969 0.9969
```

Computed properties:
Symmetry: C2/m, No. 12
Mass density, g/cm³: 8.68



ii:
ThH8Ru2 after structural relaxation. Source: the Alexandria database, functional GGA-PBE.

The structure in POSCAR format:
```
ThH8Ru2
1.0
-1.7153 1.0415 -3.1149
-4.9329 -1.6591 2.1617
-3.1384 3.5760 2.9239
H Ru Th
8 2 1
Direct
0.5000 0.2444 0.5112
0.6044 0.5000 0.0000
0.0000 0.8629 0.7351
0.5000 0.7556 0.4888
0.0000 0.1371 0.2649
0.3956 0.5000 0.0000
0.0000 0.5979 0.2649
0.0000 0.4021 0.7351
0.0000 0.2274 0.5452
0.0000 0.7726 0.4548
0.5000 0.0000 0.0000
```

Computed properties:
Symmetry: Cmmm, No. 65
Mass density, g/cm³: 7.29



Top of the stability list: i, leading by 101 meV per atom.